No. 1
Below is crystalline CdCo2Os at its relaxed geometry, with properties calculated at the PBE level.

Output
final energy: -24.0 eV per cell
ΔH_f (0 K): 0.587 eV/atom

Cell lengths 4.770, 4.770, 4.770 Å; angles 134.18, 134.18, 66.81 degrees
Fractional coordinates of all 4 atoms:
1 Cd 0.000 0.000 0.000
2 Co 0.250 0.750 0.500
3 Co 0.500 0.500 0.000
4 Os 0.750 0.250 0.500



No. 2
Below is crystalline CdCo2Os at its relaxed geometry, with properties calculated at the PBE level.

Output
final energy: -24.5 eV per cell
ΔH_f (0 K): 0.454 eV/atom

Cell lengths 4.442, 4.442, 5.078 Å; angles 97.65, 97.65, 35.23 degrees
Fractional coordinates of all 4 atoms:
1 Cd 0.000 0.000 0.000
2 Co 0.243 0.243 0.698
3 Co 0.757 0.757 0.302
4 Os 0.500 0.500 0.500



No. 3
Below is crystalline Cd2Co2Os at its relaxed geometry, with properties calculated at the PBE level.

Output
final energy: -21.9 eV per cell
ΔH_f (0 K): 1.066 eV/atom

Cell lengths 6.816, 6.816, 6.816 Å; angles 148.75, 148.75, 44.78 degrees
Fractional coordinates of all 5 atoms:
1 Cd 0.250 0.750 0.500
2 Cd 0.750 0.250 0.500
3 Co 0.085 0.085 0.000
4 Co 0.915 0.915 0.000
5 Os 0.500 0.500 0.000